Run one
{
  "formula": "SrSi2Ge2",
  "functional": "GGA-PBE",
  "state": "optimized geometry",
  "magnetic_moment_mub_per_cell": 0.0,
  "sg": "No. 139",
  "lattice_angstrom": [[-2.416, 2.416, 4.556], [2.416, -2.416, 4.556], [2.416, 2.416, -4.556]],
  "species": ["Sr", "Si", "Si", "Ge", "Ge"],
  "frac_coords": [[0.000, 0.000, 0.000], [0.363, 0.363, 0.000], [0.637, 0.637, 0.000], [0.250, 0.750, 0.500], [0.750, 0.250, 0.500]]
}

***

Run two
{
  "formula": "SrSi2Ge2",
  "functional": "GGA-PBE",
  "state": "optimized geometry",
  "magnetic_moment_mub_per_cell": 0.0,
  "sg": "No. 139",
  "lattice_angstrom": [[-2.364, 2.364, 4.935], [2.364, -2.364, 4.935], [2.364, 2.364, -4.935]],
  "species": ["Sr", "Si", "Si", "Ge", "Ge"],
  "frac_coords": [[0.000, 0.000, 0.000], [0.250, 0.750, 0.500], [0.750, 0.250, 0.500], [0.355, 0.355, 0.000], [0.645, 0.645, 0.000]]
}

***

Run three
{
  "formula": "SrSi2Ge2",
  "functional": "GGA-PBE",
  "state": "optimized geometry",
  "magnetic_moment_mub_per_cell": 0.0,
  "sg": "No. 127",
  "lattice_angstrom": [[7.755, 0.000, 0.000], [0.000, 7.755, 0.000], [0.000, 0.000, 3.741]],
  "species": ["Sr", "Sr", "Si", "Si", "Si", "Si", "Ge", "Ge", "Ge", "Ge"],
  "frac_coords": [[0.000, 0.000, 0.000], [0.500, 0.500, 0.000], [0.112, 0.388, 0.000], [0.388, 0.888, 0.000], [0.612, 0.112, 0.000], [0.888, 0.612, 0.000], [0.138, 0.638, 0.500], [0.362, 0.138, 0.500], [0.638, 0.862, 0.500], [0.862, 0.362, 0.500]]
}

***

Which of them is the least stable? Correct choice: run three.